1.
First-principles (PBE) data for a relaxed structure of Hf4Si23, as listed in Alexandria.

Computed properties:
Crystal system: cubic
ρ: 4.54 g/cm3
V: 18.4 A^3/atom
ΔE_f (raw): 0.359 eV/atom
N(E_F): 24.55 states/eV/cell

a b c (Å): 9.9828 9.9828 9.9828
angles (deg): 90.00 90.00 90.00
Closest atoms and distances in Å follow each position.
Space group Pm-3n (No. 223)
One atom of each set of equivalent atoms:
Hf1 0.0000 0.0000 0.0000  20 Si 3.16-3.32
Hf2 0.0000 0.2500 0.5000  20 Si 3.33-3.72
Si1 0.0000 0.3116 0.1156  4 Si 2.31-2.33
Si2 0.0000 0.5000 0.2500  4 Si 2.31
Si3 0.1826 0.1826 0.1826  4 Si 2.33

=====

2.
First-principles (PBE) data for a relaxed structure of Mn2CuOs, as listed in Alexandria.

Computed properties:
Crystal system: orthorhombic
ρ: 11.74 g/cm3
ΔE_f: 1.361 eV/f.u.
V: 12.9 A^3/atom
N(E_F): 10.35 states/eV/cell

a b c (Å): 2.7518 4.3688 8.5584
angles (deg): 90.00 90.00 90.00
Closest atoms and distances in Å follow each position.
Space group Cmm2 (No. 35)
One atom of each set of equivalent atoms:
Mn1 0.0000 0.0000 0.0000  6 Mn 2.45-2.58, 2 Cu 2.53
Mn2 0.0000 0.5000 0.2362  6 Mn 2.45-2.58, 2 Os 2.51
Cu1 0.0000 0.5000 0.7519  2 Mn 2.53, 6 Cu 2.58-2.75, 2 Os 2.69
Os1 0.0000 0.0000 0.4819  2 Mn 2.51, 6 Os 2.58-2.75, 2 Cu 2.69

=====

3.
First-principles (PBE) data for a relaxed structure of Hf2InNi2, as listed in Alexandria.

Computed properties:
Crystal system: tetragonal
ρ: 11.48 g/cm3
ΔE_f: -2.517 eV/f.u.
V: 17.0 A^3/atom
N(E_F): 6.28 states/eV/cell

a b c (Å): 7.1862 7.1862 3.3011
angles (deg): 90.00 90.00 90.00
Closest atoms and distances in Å follow each position.
Space group P4/mbm (No. 127)
One atom of each set of equivalent atoms:
Hf1 0.1654 0.3346 0.0000  6 Ni 2.68-2.69
In1 0.0000 0.0000 0.5000  4 Ni 2.84, 8 Hf 3.15
Ni1 0.1257 0.6257 0.5000  1 Ni 2.55, 6 Hf 2.68-2.69, 2 In 2.84

=====

4.
First-principles (PBE) data for a relaxed structure of LaTe3Pd, as listed in Alexandria.

Computed properties:
Crystal system: cubic
ρ: 6.95 g/cm3
Energy above the most stable polymorph in this dataset: 0 kJ/mol of formula units
V: 30.0 A^3/atom
ΔE_f (raw): -0.627 eV/atom
N(E_F): 3.15 states/eV/cell

a b c (Å): 5.3132 5.3132 5.3132
angles (deg): 90.00 90.00 90.00
Closest atoms and distances in Å follow each position.
Space group Pm-3m (No. 221)
One atom of each set of equivalent atoms:
La1 0.0000 0.0000 0.0000  12 Te 3.76
Te1 0.0000 0.5000 0.5000  2 Pd 2.66
Pd1 0.5000 0.5000 0.5000  6 Te 2.66

=====

5.
First-principles (PBE) data for a relaxed structure of UPt2Rh2, as listed in Alexandria.

Computed properties:
Crystal system: hexagonal
ρ: 14.92 g/cm3
ΔE_f: -0.373 eV/f.u.
Energy above the most stable polymorph in this dataset: 95 kJ/mol of formula units
V: 18.6 A^3/atom
N(E_F): 10.05 states/eV/cell

a b c (Å): 4.5090 4.5090 10.5403
angles (deg): 90.00 90.00 120.00
Closest atoms and distances in Å follow each position.
Space group P6_3/mmc (No. 194)
One atom of each set of equivalent atoms:
U1 0.0000 0.0000 0.2500  5 Pt 2.60-2.64
Pt1 0.0000 0.0000 0.0000  2 U 2.64, 6 Rh 2.88
Pt2 0.3333 0.6667 0.2500  3 U 2.60
Rh1 0.3333 0.6667 0.6162  1 Rh 2.82, 6 Pt 2.88-2.96, 3 U 2.96

=====

6.
First-principles (PBE) data for a relaxed structure of Pm4ZnAu3, as listed in Alexandria.

Computed properties:
Crystal system: orthorhombic
ρ: 9.94 g/cm3
ΔE_f: -5.416 eV/f.u.
V: 25.8 A^3/atom
N(E_F): 6.62 states/eV/cell

a b c (Å): 3.8728 4.7427 11.2486
angles (deg): 90.00 90.00 90.00
Closest atoms and distances in Å follow each position.
Space group Pmm2 (No. 25)
One atom of each set of equivalent atoms:
Pm1 0.0000 0.0000 0.0000  6 Au 3.12-3.19, 1 Zn 3.16
Pm2 0.0000 0.5000 0.2770  7 Au 3.12-3.18
Pm3 0.5000 0.0000 0.4992  5 Au 3.08-3.14, 2 Zn 3.14
Pm4 0.5000 0.5000 0.7783  3 Au 3.10-3.13, 4 Zn 3.13
Zn1 0.0000 0.0000 0.7193  2 Au 2.97, 7 Pm 3.13-3.16
Au1 0.0000 0.5000 0.5596  2 Zn 2.97, 7 Pm 3.13-3.18
Au2 0.5000 0.0000 0.2257  2 Au 3.06, 7 Pm 3.08-3.19
Au3 0.5000 0.5000 0.0543  2 Au 3.06, 7 Pm 3.10-3.17

=====

7.
First-principles (PBE) data for a relaxed structure of AgC4, as listed in Alexandria.

Computed properties:
Crystal system: cubic
ρ: 3.69 g/cm3
ΔE_f: 22.785 eV/f.u.
Energy above the most stable polymorph in this dataset: 1541 kJ/mol of formula units
V: 14.0 A^3/atom
N(E_F): 4.16 states/eV/cell

a b c (Å): 4.1238 4.1238 4.1238
angles (deg): 90.00 90.00 90.00
Closest atoms and distances in Å follow each position.
Space group Pm-3m (No. 221)
One atom of each set of equivalent atoms:
Ag1 0.0000 0.0000 0.0000  6 C 2.06
C1 0.0000 0.0000 0.5000  2 Ag 2.06
C2 0.5000 0.5000 0.5000  12 C 2.92

=====

8.
First-principles (PBE) data for a relaxed structure of PmMgCo2, as listed in Alexandria.

Computed properties:
Crystal system: orthorhombic
ρ: 6.24 g/cm3
ΔE_f: -0.130 eV/f.u.
V: 19.1 A^3/atom
N(E_F): 12.28 states/eV/cell

a b c (Å): 7.7929 3.9402 9.9612
angles (deg): 90.00 90.00 90.00
Closest atoms and distances in Å follow each position.
Space group Pnma (No. 62)
One atom of each set of equivalent atoms:
Pm1 0.1317 0.2500 0.1318  9 Co 2.93-3.22
Mg1 0.0047 0.2500 0.6107  5 Co 2.61-2.79
Co1 0.1763 0.2500 0.8387  2 Co 2.18
Co2 0.2471 0.2500 0.4119  2 Co 2.18